1.
Material: BaTePd
Method: DFT, PBE
State: relaxed Values from VASP.

**Formation energy (no corrections)**: -3.54 eV per formula unit
**SG**: No. 109
**Electronic total energy**: -4.5992 eV per atom

Geometry as Quantum ESPRESSO input:
```
&SYSTEM
  ibrav = 0, nat = 6, ntyp = 3
/
ATOMIC_SPECIES
Pd 106.42 Pd.upf
Ba 137.33 Ba.upf
Te 127.60 Te.upf
CELL_PARAMETERS angstrom
-2.0038 5.1976 6.8873
-3.9644 -2.2967 -1.0196
1.7862 -3.9153 1.8744
ATOMIC_POSITIONS angstrom
Pd 1.1690 -3.6420 1.7112
Pd -1.2713 -0.6385 4.4303
Ba -3.1986 2.0181 5.9390
Ba -3.6344 -0.1761 1.7721
Te -3.7687 -1.4384 5.1389
Te -0.2403 -1.3370 1.9912
```

=====

2.
Material: BaTePd
Method: DFT, PBE
State: relaxed Values from VASP.

**Formation energy (no corrections)**: -2.53 eV per formula unit
**SG**: No. 63
**Electronic total energy**: -4.2615 eV per atom

Geometry as Quantum ESPRESSO input:
```
&SYSTEM
  ibrav = 0, nat = 12, ntyp = 3
/
ATOMIC_SPECIES
Pd 106.42 Pd.upf
Te 127.60 Te.upf
Ba 137.33 Ba.upf
CELL_PARAMETERS angstrom
10.7387 0.0000 0.0000
0.0000 7.7079 0.0000
0.0000 0.0000 4.2944
ATOMIC_POSITIONS angstrom
Pd 9.9862 1.9270 2.1460
Pd 6.1218 5.7810 4.2931
Pd 4.6169 1.9270 0.0012
Pd 0.7525 5.7810 2.1484
Te 0.0000 0.0000 0.0000
Te 5.3693 3.8540 2.1472
Te 5.3693 0.0000 2.1472
Te 0.0000 3.8540 0.0000
Ba 7.6345 1.9270 4.2926
Ba 8.4735 5.7810 2.1454
Ba 2.2652 1.9270 2.1490
Ba 3.1041 5.7810 0.0018
```